This record from Alexandria via LeMat-Bulk describes a geometry-optimized Y2Ga5Pd3 structure. The functional is PBE.

VASP energy in eV/atom: -5.12
Energy of formation from the pure elements in eV/atom: -0.757
E above lowest polymorph in eV per atom: 0.015

Cell: 12.627 12.627 6.730 Å, 90.00 90.00 159.97°
Positions (direct):
Y1 0.016 0.984 0.500
Y2 0.325 0.675 0.519
Y3 0.675 0.325 0.019
Y4 0.984 0.016 0.000
Ga1 0.104 0.896 0.832
Ga2 0.206 0.794 0.322
Ga3 0.208 0.792 0.728
Ga4 0.378 0.622 0.990
Ga5 0.449 0.551 0.684
Ga6 0.551 0.449 0.184
Ga7 0.622 0.378 0.490
Ga8 0.792 0.208 0.228
Ga9 0.794 0.206 0.822
Ga10 0.896 0.104 0.332
Pd1 0.106 0.894 0.227
Pd2 0.275 0.725 0.027
Pd3 0.447 0.553 0.286
Pd4 0.553 0.447 0.786
Pd5 0.725 0.275 0.527
Pd6 0.894 0.106 0.727

---

This record from Alexandria via LeMat-Bulk describes a geometry-optimized Y4Ga16Pd3 structure. The functional is PBE.

VASP energy in eV/atom: -4.49
Energy of formation from the pure elements in eV/atom: -0.579

Cell: 6.237 6.237 11.074 Å, 90.00 90.00 90.00°
Positions (direct):
Y1 0.000 0.500 0.190
Y2 0.000 0.500 0.810
Y3 0.500 0.000 0.190
Y4 0.500 0.000 0.810
Ga1 0.000 0.000 0.201
Ga2 0.000 0.000 0.799
Ga3 0.210 0.210 0.000
Ga4 0.210 0.790 0.000
Ga5 0.244 0.244 0.375
Ga6 0.244 0.244 0.625
Ga7 0.244 0.756 0.375
Ga8 0.244 0.756 0.625
Ga9 0.500 0.500 0.232
Ga10 0.500 0.500 0.768
Ga11 0.756 0.244 0.375
Ga12 0.756 0.244 0.625
Ga13 0.756 0.756 0.375
Ga14 0.756 0.756 0.625
Ga15 0.790 0.210 0.000
Ga16 0.790 0.790 0.000
Pd1 0.000 0.500 0.500
Pd2 0.500 0.000 0.500
Pd3 0.500 0.500 0.000

---

This record from Alexandria via LeMat-Bulk describes a geometry-optimized Y3Ga2Pd3 structure. The functional is PBE.

VASP energy in eV/atom: -5.98
Energy of formation from the pure elements in eV/atom: -0.852

Cell: 5.713 5.713 14.491 Å, 90.00 90.00 135.05°
Positions (direct):
Y1 0.079 0.921 0.606
Y2 0.079 0.921 0.894
Y3 0.364 0.636 0.750
Y4 0.636 0.364 0.250
Y5 0.921 0.079 0.106
Y6 0.921 0.079 0.394
Ga1 0.217 0.783 0.098
Ga2 0.217 0.783 0.402
Ga3 0.783 0.217 0.598
Ga4 0.783 0.217 0.902
Pd1 0.350 0.650 0.250
Pd2 0.382 0.618 0.544
Pd3 0.382 0.618 0.956
Pd4 0.618 0.382 0.044
Pd5 0.618 0.382 0.456
Pd6 0.650 0.350 0.750

---

This record from Alexandria via LeMat-Bulk describes a geometry-optimized Y3Ga12Pd structure. The functional is PBE.

VASP energy in eV/atom: -4.26
Energy of formation from the pure elements in eV/atom: -0.449

Cell: 4.302 4.302 16.322 Å, 90.00 90.00 90.00°
Positions (direct):
Y1 0.000 0.000 0.000
Y2 0.000 0.000 0.264
Y3 0.000 0.000 0.736
Ga1 0.000 0.500 0.131
Ga2 0.000 0.500 0.394
Ga3 0.000 0.500 0.606
Ga4 0.000 0.500 0.869
Ga5 0.500 0.000 0.131
Ga6 0.500 0.000 0.394
Ga7 0.500 0.000 0.606
Ga8 0.500 0.000 0.869
Ga9 0.500 0.500 0.000
Ga10 0.500 0.500 0.258
Ga11 0.500 0.500 0.500
Ga12 0.500 0.500 0.742
Pd1 0.000 0.000 0.500

---

This record from Alexandria via LeMat-Bulk describes a geometry-optimized Y2Ga4Pd5 structure. The functional is PBE.

VASP energy in eV/atom: -5.36
Energy of formation from the pure elements in eV/atom: -0.723

Cell: 9.119 8.308 5.480 Å, 79.95 63.77 36.28°
Positions (direct):
Y1 0.128 0.128 0.872
Y2 0.872 0.872 0.128
Ga1 0.214 0.525 0.475
Ga2 0.475 0.786 0.214
Ga3 0.525 0.214 0.786
Ga4 0.786 0.475 0.525
Pd1 0.000 0.000 0.500
Pd2 0.250 0.250 0.250
Pd3 0.500 0.500 0.000
Pd4 0.500 0.500 0.500
Pd5 0.750 0.750 0.750

---

This record from Alexandria via LeMat-Bulk describes a geometry-optimized YGa2Pd structure. The functional is PBE.

VASP energy in eV/atom: -5.24
Energy of formation from the pure elements in eV/atom: -0.808

Cell: 4.429 6.640 5.552 Å, 90.00 113.41 90.00°
Positions (direct):
Y1 0.088 0.250 0.176
Y2 0.912 0.750 0.824
Ga1 0.372 0.053 0.744
Ga2 0.372 0.447 0.744
Ga3 0.628 0.553 0.256
Ga4 0.628 0.947 0.256
Pd1 0.201 0.750 0.403
Pd2 0.799 0.250 0.597

---

This record from Alexandria via LeMat-Bulk describes a geometry-optimized YGa3Pd5 structure. The functional is PBE.

VASP energy in eV/atom: -5.24
Energy of formation from the pure elements in eV/atom: -0.626

Cell: 6.892 6.892 13.037 Å, 90.00 90.00 147.74°
Positions (direct):
Y1 0.112 0.888 0.750
Y2 0.888 0.112 0.250
Ga1 0.131 0.869 0.250
Ga2 0.380 0.620 0.042
Ga3 0.380 0.620 0.458
Ga4 0.620 0.380 0.542
Ga5 0.620 0.380 0.958
Ga6 0.869 0.131 0.750
Pd1 0.000 0.000 0.000
Pd2 0.000 0.000 0.500
Pd3 0.199 0.801 0.072
Pd4 0.199 0.801 0.428
Pd5 0.455 0.545 0.647
Pd6 0.455 0.545 0.853
Pd7 0.545 0.455 0.147
Pd8 0.545 0.455 0.353
Pd9 0.801 0.199 0.572
Pd10 0.801 0.199 0.928

---

This record from Alexandria via LeMat-Bulk describes a geometry-optimized YGaPd2 structure. The functional is PBE.

VASP energy in eV/atom: -5.86
Energy of formation from the pure elements in eV/atom: -0.890

Cell: 7.379 7.188 5.610 Å, 90.00 90.00 90.00°
Positions (direct):
Y1 0.030 0.250 0.142
Y2 0.470 0.750 0.642
Y3 0.530 0.250 0.358
Y4 0.970 0.750 0.858
Ga1 0.116 0.750 0.360
Ga2 0.384 0.250 0.860
Ga3 0.616 0.750 0.140
Ga4 0.884 0.250 0.640
Pd1 0.183 0.052 0.590
Pd2 0.183 0.448 0.590
Pd3 0.317 0.552 0.090
Pd4 0.317 0.948 0.090
Pd5 0.683 0.052 0.910
Pd6 0.683 0.448 0.910
Pd7 0.817 0.552 0.410
Pd8 0.817 0.948 0.410

---

Question: Among the records above, which one has the lowest energy of formation from the pure elements?
Answer: YGaPd2